(1)
Here is crystalline La3BeSi2 at its relaxed geometry from Alexandria via LeMat-Bulk. Energies are from GGA-PBE.

Cell lengths 4.1555, 11.8685, 12.1024 Å; angles 90.00, 90.00, 90.00 degrees
Last column: nearest neighbours and their distance in Å.
Atoms (fractional coordinates):
La 0.7500 0.2855 0.8026  2 Be 3.04, 4 Si 3.06-3.19
La 0.2500 0.7855 0.6974  2 Be 3.04, 4 Si 3.06-3.19
La 0.7500 0.5603 0.6163  5 Si 3.03-3.23, 3 Be 3.15-3.18
La 0.7500 0.6124 0.9342  1 Be 3.07, 4 Si 3.13-3.18
La 0.2500 0.4397 0.3837  5 Si 3.03-3.23, 3 Be 3.15-3.18
La 0.7500 0.9397 0.1163  5 Si 3.03-3.23, 3 Be 3.15-3.18
La 0.2500 0.1124 0.5658  1 Be 3.07, 4 Si 3.13-3.18
La 0.2500 0.7145 0.1974  2 Be 3.04, 4 Si 3.06-3.19
La 0.2500 0.0603 0.8837  5 Si 3.03-3.23, 3 Be 3.15-3.18
La 0.7500 0.8876 0.4342  1 Be 3.07, 4 Si 3.13-3.18
La 0.2500 0.3876 0.0658  1 Be 3.07, 4 Si 3.13-3.18
La 0.7500 0.2145 0.3026  2 Be 3.04, 4 Si 3.06-3.19
Si 0.2500 0.6855 0.4528  2 Be 2.40
Si 0.7500 0.5248 0.2054  1 Be 2.36
Si 0.2500 0.4752 0.7946  1 Be 2.36
Si 0.7500 0.1855 0.0472  2 Be 2.40
Si 0.7500 0.3145 0.5472  2 Be 2.40
Si 0.2500 0.0248 0.2946  1 Be 2.36
Si 0.7500 0.9752 0.7054  1 Be 2.36
Si 0.2500 0.8145 0.9528  2 Be 2.40
Be 0.2500 0.1385 0.1351  3 Si 2.36-2.40
Be 0.7500 0.6385 0.3649  3 Si 2.36-2.40
Be 0.7500 0.8615 0.8649  3 Si 2.36-2.40
Be 0.2500 0.3615 0.6351  3 Si 2.36-2.40

Output
As for the total energy: -5.421 eV per atom. For the raw formation energy, the calculation gives -3.17 eV per formula unit. The value obtained for the total magnetization is 1.16 μB per cell.


(2)
Here is crystalline BaMn2Al at its relaxed geometry from Alexandria via LeMat-Bulk. Energies are from GGA-PBE.

Cell lengths 5.0325, 5.0325, 9.6916 Å; angles 74.95, 74.95, 90.00 degrees
Last column: nearest neighbours and their distance in Å.
Atoms (fractional coordinates):
Ba 0.7500 0.2500 0.5000  4 Al 3.56, 8 Mn 3.60
Ba 0.0000 0.0000 0.0000  4 Al 3.56, 8 Mn 3.60
Mn 0.3750 0.1250 0.2500  2 Mn 2.52, 2 Al 2.58
Mn 0.8750 0.6250 0.7500  2 Mn 2.52, 2 Al 2.58
Mn 0.3750 0.6250 0.2500  2 Mn 2.52, 2 Al 2.58
Mn 0.3750 0.6250 0.7500  2 Mn 2.52, 2 Al 2.58
Al 0.5000 0.5000 0.0000  4 Mn 2.58
Al 0.2500 0.7500 0.5000  4 Mn 2.58

Output
As for the total energy: -5.429 eV per atom. The value obtained for the formation energy is 0.57 eV per atom. The value obtained for the total magnetization is 13.04 μB per cell.


(3)
Here is crystalline B5C7 at its relaxed geometry from Alexandria via LeMat-Bulk. Energies are from GGA-PBE.

Cell lengths 4.5847, 4.5847, 4.6823 Å; angles 102.00, 102.00, 118.64 degrees
Last column: nearest neighbours and their distance in Å.
Atoms (fractional coordinates):
C 0.3608 0.3608 0.1199  1 C 1.55, 3 B 1.61-1.62
C 0.2166 0.5511 0.6226  4 B 1.61-1.69
C 0.0461 0.7270 0.1159  1 C 1.55, 3 B 1.62-1.69
C 0.9993 0.9993 0.9987  4 C 1.52-1.55
C 0.7270 0.0461 0.1159  1 C 1.55, 3 B 1.62-1.69
C 0.8787 0.8787 0.6437  1 C 1.52, 3 B 1.62-1.64
C 0.5511 0.2166 0.6226  4 B 1.61-1.69
B 0.3290 0.6596 0.0082  4 C 1.62-1.69
B 0.1547 0.8266 0.4991  4 C 1.61-1.69
B 0.6596 0.3291 0.0083  4 C 1.62-1.69
B 0.8265 0.1547 0.4991  4 C 1.61-1.69
B 0.5006 0.5006 0.4961  4 C 1.61-1.63

Output
Its energy above the lowest structure with this stoichiometry is 166 meV per atom. As for the total energy: -7.738 eV per atom. The value obtained for the formation energy is 0.42 eV per atom. The value obtained for the total magnetization is 0.00 μB per cell.


(4)
Here is crystalline KCuMo2 at its relaxed geometry from Alexandria via LeMat-Bulk. Energies are from GGA-PBE.

Cell lengths 4.5787, 4.5787, 4.5787 Å; angles 60.00, 60.00, 60.00 degrees
Last column: nearest neighbours and their distance in Å.
Atoms (fractional coordinates):
Mo 0.7500 0.7500 0.7500  4 K 2.80, 4 Cu 2.80
Mo 0.2500 0.2500 0.2500  4 K 2.80, 4 Cu 2.80
Cu 0.5000 0.5000 0.5000  8 Mo 2.80
K 0.0000 0.0000 0.0000  8 Mo 2.80

Output
Its energy above the lowest structure with this stoichiometry is 1176 meV per atom. As for the total energy: -4.856 eV per atom. The value obtained for the formation energy is 1.86 eV per atom. The value obtained for the total magnetization is 0.00 μB per cell.


(5)
Here is crystalline Sm2SnI at its relaxed geometry from Alexandria via LeMat-Bulk. Energies are from GGA-PBE.

Cell lengths 4.4419, 4.4419, 8.2459 Å; angles 74.37, 74.37, 60.00 degrees
Last column: nearest neighbours and their distance in Å.
Atoms (fractional coordinates):
I 0.4982 0.4982 0.5054  6 Sm 3.39-3.45
Sm 0.0707 0.0707 0.7880  3 Sn 3.04, 3 I 3.39
Sm 0.2629 0.2629 0.2113  3 Sn 3.07
Sn 0.6682 0.6682 0.9953  6 Sm 3.04-3.07

Output
Its energy above the lowest structure with this stoichiometry is 38 meV per atom. As for the total energy: -4.556 eV per atom. For the raw formation energy, the calculation gives -3.23 eV per formula unit. The value obtained for the total magnetization is 0.00 μB per cell.


(6)
Here is crystalline CaPaP2O8 at its relaxed geometry from Alexandria via LeMat-Bulk. Energies are from GGA-PBE.

Cell lengths 5.3951, 5.3951, 7.0820 Å; angles 90.00, 90.00, 120.00 degrees
Last column: nearest neighbours and their distance in Å.
Atoms (fractional coordinates):
O 0.3550 0.1762 0.2832  1 P 1.57
O 0.6667 0.3333 0.9880  1 P 1.50
O 0.1762 0.8212 0.7168  1 P 1.57
O 0.3333 0.6667 0.0120  1 P 1.50
O 0.1788 0.3550 0.7168  1 P 1.57
O 0.6450 0.8238 0.7168  1 P 1.57
O 0.8212 0.6450 0.2832  1 P 1.57
O 0.8238 0.1788 0.2832  1 P 1.57
P 0.3333 0.6667 0.7997  4 O 1.50-1.57
P 0.6667 0.3333 0.2003  4 O 1.50-1.57
Ca 0.0000 0.0000 0.0000  6 O 2.60
Pa 0.0000 0.0000 0.5000  6 O 2.26

Output
As for the total energy: -7.901 eV per atom. For the raw formation energy, the calculation gives -32.82 eV per formula unit. The value obtained for the total magnetization is 1.00 μB per cell.